Entry 1:
DFT (PBE) results for a relaxed structure of Ba2CaCr.

a b c (Å): 4.160 4.160 10.250
angles (deg): 90.00 90.00 90.00
Sites, in units of the cell vectors:
Ba  0.000  0.000  0.202
Ba  0.000  0.000  0.798
Ca  0.500  0.500  0.500
Cr  0.500  0.500  0.000

Computed properties:
- Energy relative to the elements: 0.43 eV/atom
- ΔE to the lowest computed polymorph: 1.9 kJ/mol of atoms

Entry 2:
DFT (PBE) results for a relaxed structure of CaYSbI2.

a b c (Å): 5.638 5.638 6.333
angles (deg): 90.00 90.00 90.00
Sites, in units of the cell vectors:
Ca  0.000  0.000  0.000
Y  0.500  0.500  0.500
Sb  0.000  0.000  0.500
I  0.000  0.500  0.000
I  0.500  0.000  0.000

Computed properties:
- ΔE to the lowest computed polymorph: 34.4 kJ/mol of atoms
- Formation energy without anion corrections: -1.704 eV/f.u.

Entry 3:
DFT (PBE) results for a relaxed structure of Pm12Pr5Sm2.

a b c (Å): 10.085 10.085 10.577
angles (deg): 109.97 109.97 42.04
Sites, in units of the cell vectors:
Pm  0.000  0.000  0.175
Pm  0.000  0.000  0.825
Pm  0.082  0.586  0.979
Pm  0.094  0.589  0.634
Pm  0.411  0.906  0.366
Pm  0.414  0.918  0.021
Pm  0.474  0.474  0.256
Pm  0.526  0.526  0.744
Pm  0.586  0.082  0.979
Pm  0.589  0.094  0.634
Pm  0.906  0.411  0.366
Pm  0.918  0.414  0.021
Pr  0.176  0.176  0.710
Pr  0.313  0.313  0.317
Pr  0.500  0.500  0.000
Pr  0.687  0.687  0.683
Pr  0.824  0.824  0.290
Sm  0.220  0.780  0.500
Sm  0.780  0.220  0.500

Computed properties:
- Energy relative to the elements: 0.16 eV/atom
- ΔE to the lowest computed polymorph: 3.2 kJ/mol of atoms

Entry 4:
DFT (PBE) results for a relaxed structure of NdY2.

a b c (Å): 3.639 3.639 8.947
angles (deg): 101.79 101.79 59.98
Sites, in units of the cell vectors:
Nd  0.000  0.000  0.000
Y  0.221  0.221  0.664
Y  0.779  0.779  0.336

Computed properties:
- Energy relative to the elements: -0.01 eV/atom
- ΔE to the lowest computed polymorph: 0.0 kJ/mol of atoms

Entry 5:
DFT (PBE) results for a relaxed structure of TiBeAgPd.

a b c (Å): 4.354 4.354 4.354
angles (deg): 60.00 60.00 60.00
Sites, in units of the cell vectors:
Ti  0.000  0.000  0.000
Be  0.500  0.500  0.500
Ag  0.750  0.750  0.750
Pd  0.250  0.250  0.250

Computed properties:
- Energy relative to the elements: -0.14 eV/atom

Entry 6:
DFT (PBE) results for a relaxed structure of La2AlPd5.

a b c (Å): 6.132 6.132 6.132
angles (deg): 118.22 118.22 93.12
Sites, in units of the cell vectors:
La  0.000  0.500  0.500
La  0.500  0.000  0.500
Al  0.281  0.281  0.000
Pd  0.521  0.521  0.552
Pd  0.521  0.969  0.000
Pd  0.969  0.521  0.000
Pd  0.969  0.969  0.448
Pd  0.984  0.984  0.000

Computed properties:
- Energy relative to the elements: -0.79 eV/atom

no.,density of states at the Fermi level (states/eV/atom)
1,1.37
2,0.25
3,1.61
4,1.32
5,0.87
6,0.47